1.
An optimized crystal structure of Sr2Cd3GaAg4, computed with PBE-GGA.

The space group is P-4m2 (No. 115) and the conventional cell measures 4.7998, 4.7998 and 11.0149 Å, with angles of 90.00, 90.00 and 90.00 degrees. The distinct sites, in fractional coordinates, are Sr at (0.0000, 0.5000, 0.2480), Cd at (0.0000, 0.0000, 0.0000), Cd at (0.0000, 0.5000, 0.6312), Ga at (0.5000, 0.5000, 0.0000), Ag at (0.0000, 0.0000, 0.5000), Ag at (0.0000, 0.5000, 0.8785) and Ag at (0.5000, 0.5000, 0.5000).

As for the total magnetic moment: 0.00 μB per cell. The energy relative to the elements comes out at -0.212 eV/atom.

---

2.
An optimized crystal structure of SrCd2GaAg, computed with PBE-GGA.

The space group is Imm2 (No. 44) and the conventional cell measures 4.6047, 4.7087 and 11.5319 Å, with angles of 90.00, 90.00 and 90.00 degrees. The distinct sites, in fractional coordinates, are Sr at (0.0000, 0.0000, 0.0000), Cd at (0.0000, 0.0000, 0.3829), Cd at (0.0000, 0.5000, 0.2413), Ga at (0.0000, 0.0000, 0.6154) and Ag at (0.0000, 0.5000, 0.7296).

As for the total magnetic moment: 0.00 μB per cell. The energy relative to the elements comes out at -0.259 eV/atom.

---

3.
An optimized crystal structure of Tb4CdGaAg2, computed with PBE-GGA.

The space group is R-3m (No. 166, hexagonal axes) and the conventional cell measures 5.1840, 5.1840 and 25.4611 Å, with angles of 90.00, 90.00 and 120.00 degrees. The distinct sites, in fractional coordinates, are Tb at (0.0000, 0.0000, 0.1212), Tb at (0.0000, 0.0000, 0.3715), Cd at (0.0000, 0.0000, 0.5000), Ga at (0.0000, 0.0000, 0.0000) and Ag at (0.0000, 0.0000, 0.2456).

As for the total magnetic moment: 0.00 μB per cell. The energy relative to the elements comes out at -0.377 eV/atom.

---

4.
An optimized crystal structure of CdGa2AgTe, computed with PBE-GGA.

The space group is P4/mmm (No. 123) and the conventional cell measures 5.6487, 5.6487 and 5.2899 Å, with angles of 90.00, 90.00 and 90.00 degrees. The distinct sites, in fractional coordinates, are Cd at (0.0000, 0.0000, 0.0000), Ga at (0.0000, 0.5000, 0.5000), Ag at (0.5000, 0.5000, 0.0000) and Te at (0.5000, 0.5000, 0.5000).

As for the total magnetic moment: 0.00 μB per cell. The value obtained for the formation energy from raw total energies is 0.49 eV per atom.

---

5.
An optimized crystal structure of CdGaAg2Te4, computed with PBE-GGA.

The space group is Fmm2 (No. 42) and the conventional cell measures 8.9309, 8.9362 and 13.0922 Å, with angles of 90.00, 90.00 and 90.00 degrees. The distinct sites, in fractional coordinates, are Cd at (0.0000, 0.0000, 0.0000), Ga at (0.0000, 0.0000, 0.4996), Ag at (0.2500, 0.2500, 0.2498), Te at (0.0000, 0.2369, 0.6238) and Te at (0.2373, 0.0000, 0.3756).

As for the total magnetic moment: 0.00 μB per cell. The value obtained for the formation energy from raw total energies is -0.24 eV per atom.

---

6.
An optimized crystal structure of ThCdGaAg, computed with PBE-GGA.

The space group is F-43m (No. 216) and the conventional cell measures 7.1296, 7.1296 and 7.1296 Å, with angles of 90.00, 90.00 and 90.00 degrees. The distinct sites, in fractional coordinates, are Th at (0.0000, 0.0000, 0.0000), Cd at (0.0000, 0.0000, 0.5000), Ga at (0.2500, 0.2500, 0.2500) and Ag at (0.2500, 0.2500, 0.7500).

As for the total magnetic moment: 0.00 μB per cell. The energy relative to the elements comes out at -0.229 eV/atom.

---

7.
An optimized crystal structure of TmCdGaAg, computed with PBE-GGA.

The space group is F-43m (No. 216) and the conventional cell measures 6.8951, 6.8951 and 6.8951 Å, with angles of 90.00, 90.00 and 90.00 degrees. The distinct sites, in fractional coordinates, are Tm at (0.0000, 0.0000, 0.0000), Cd at (0.0000, 0.0000, 0.5000), Ga at (0.2500, 0.2500, 0.7500) and Ag at (0.2500, 0.2500, 0.2500).

As for the total magnetic moment: 0.00 μB per cell. The energy relative to the elements comes out at -0.313 eV/atom.

---

8.
An optimized crystal structure of Tm4CdGaAg2, computed with PBE-GGA.

The space group is R-3m (No. 166, hexagonal axes) and the conventional cell measures 5.0960, 5.0960 and 24.9581 Å, with angles of 90.00, 90.00 and 120.00 degrees. The distinct sites, in fractional coordinates, are Tm at (0.0000, 0.0000, 0.1217), Tm at (0.0000, 0.0000, 0.3719), Cd at (0.0000, 0.0000, 0.5000), Ga at (0.0000, 0.0000, 0.0000) and Ag at (0.0000, 0.0000, 0.2461).

As for the total magnetic moment: 0.00 μB per cell. The energy relative to the elements comes out at -0.393 eV/atom.

---

9.
An optimized crystal structure of VCd2GaAg, computed with PBE-GGA.

The space group is P4/mmm (No. 123) and the conventional cell measures 5.2643, 5.2643 and 4.9071 Å, with angles of 90.00, 90.00 and 90.00 degrees. The distinct sites, in fractional coordinates, are V at (0.0000, 0.0000, 0.0000), Cd at (0.0000, 0.5000, 0.0000), Ga at (0.0000, 0.0000, 0.5000) and Ag at (0.5000, 0.5000, 0.5000).

As for the total magnetic moment: 3.45 μB per cell. The energy relative to the elements comes out at 0.787 eV/atom.

---

10.
An optimized crystal structure of CdGaAg2W, computed with PBE-GGA.

The space group is P4/mmm (No. 123) and the conventional cell measures 4.9504, 4.9504 and 5.1875 Å, with angles of 90.00, 90.00 and 90.00 degrees. The distinct sites, in fractional coordinates, are Cd at (0.0000, 0.0000, 0.0000), Ga at (0.5000, 0.5000, 0.5000), Ag at (0.0000, 0.5000, 0.0000) and W at (0.0000, 0.0000, 0.5000).

As for the total magnetic moment: 0.00 μB per cell. The energy relative to the elements comes out at 1.633 eV/atom.

---

11.
An optimized crystal structure of YCdGaAg, computed with PBE-GGA.

The space group is F-43m (No. 216) and the conventional cell measures 6.9501, 6.9501 and 6.9501 Å, with angles of 90.00, 90.00 and 90.00 degrees. The distinct sites, in fractional coordinates, are Y at (0.0000, 0.0000, 0.0000), Cd at (0.0000, 0.0000, 0.5000), Ga at (0.2500, 0.2500, 0.2500) and Ag at (0.2500, 0.2500, 0.7500).

As for the total magnetic moment: 0.00 μB per cell. The energy relative to the elements comes out at -0.346 eV/atom.

---

12.
An optimized crystal structure of Zn2Cd2GaAg5, computed with PBE-GGA.

The space group is P4/mbm (No. 127) and the conventional cell measures 9.4972, 9.4972 and 4.1176 Å, with angles of 90.00, 90.00 and 90.00 degrees. The distinct sites, in fractional coordinates, are Zn at (0.1239, 0.3761, 0.0000), Cd at (0.1729, 0.6729, 0.0000), Ga at (0.0000, 0.0000, 0.0000), Ag at (0.0000, 0.5000, 0.5000) and Ag at (0.0814, 0.1961, 0.5000).

As for the total magnetic moment: 0.00 μB per cell. The energy relative to the elements comes out at 0.032 eV/atom.

---

13.
An optimized crystal structure of Zn2CdGaAg5, computed with PBE-GGA.

The space group is Cmc2_1 (No. 36) and the conventional cell measures 2.9324, 16.7545 and 13.0151 Å, with angles of 90.00, 90.00 and 90.00 degrees. The distinct sites, in fractional coordinates, are Zn at (0.0000, 0.1209, 0.0000), Zn at (0.0000, 0.1264, 0.3291), Cd at (0.0000, 0.2734, 0.6651), Ga at (0.0000, 0.3888, 0.1514), Ag at (0.0000, 0.0459, 0.8086), Ag at (0.0000, 0.2944, 0.9842), Ag at (0.0000, 0.3027, 0.3406), Ag at (0.0000, 0.4435, 0.6641) and Ag at (0.0000, 0.4699, 0.9715).

As for the total magnetic moment: 0.00 μB per cell. The energy relative to the elements comes out at 0.004 eV/atom.

---

14.
An optimized crystal structure of ZnCd2Ga2Ag5, computed with PBE-GGA.

The space group is P4/mbm (No. 127) and the conventional cell measures 10.2023, 10.2023 and 3.6496 Å, with angles of 90.00, 90.00 and 90.00 degrees. The distinct sites, in fractional coordinates, are Zn at (0.0000, 0.0000, 0.0000), Cd at (0.1691, 0.3309, 0.0000), Ga at (0.1432, 0.6432, 0.0000), Ag at (0.0000, 0.5000, 0.5000) and Ag at (0.0207, 0.8001, 0.5000).

As for the total magnetic moment: 0.00 μB per cell. The energy relative to the elements comes out at 0.049 eV/atom.

---

15.
An optimized crystal structure of ZnCdGaAg2, computed with PBE-GGA.

The space group is P3m1 (No. 156) and the conventional cell measures 4.6652, 4.6652 and 5.3038 Å, with angles of 90.00, 90.00 and 120.00 degrees. The distinct sites, in fractional coordinates, are Zn at (0.0000, 0.0000, 0.0000), Cd at (0.6667, 0.3333, 0.3490), Ga at (0.3333, 0.6667, 0.7173), Ag at (0.0000, 0.0000, 0.5103) and Ag at (0.3333, 0.6667, 0.2044).

As for the total magnetic moment: 0.00 μB per cell. The energy relative to the elements comes out at 0.035 eV/atom.

---

16.
An optimized crystal structure of ZnCd2Ga2Ag4, computed with PBE-GGA.

The space group is C2/m (No. 12) and the conventional cell measures 13.6987, 3.0257 and 8.1505 Å, with angles of 90.00, 101.27 and 90.00 degrees. The distinct sites, in fractional coordinates, are Zn at (0.0000, 0.0000, 0.0000), Cd at (0.1535, 0.0000, 0.5725), Ga at (0.1612, 0.5000, 0.9281), Ag at (0.0119, 0.5000, 0.3116) and Ag at (0.1787, 0.0000, 0.2262).

As for the total magnetic moment: 0.00 μB per cell. The energy relative to the elements comes out at -0.010 eV/atom.

---

17.
An optimized crystal structure of ZrCdGaAg, computed with PBE-GGA.

The space group is F-43m (No. 216) and the conventional cell measures 6.7531, 6.7531 and 6.7531 Å, with angles of 90.00, 90.00 and 90.00 degrees. The distinct sites, in fractional coordinates, are Zr at (0.0000, 0.0000, 0.0000), Cd at (0.0000, 0.0000, 0.5000), Ga at (0.2500, 0.2500, 0.7500) and Ag at (0.2500, 0.2500, 0.2500).

As for the total magnetic moment: 0.00 μB per cell. The energy relative to the elements comes out at -0.119 eV/atom.

---

18.
An optimized crystal structure of GdCdAg4, computed with PBE-GGA.

The space group is F-43m (No. 216) and the conventional cell measures 7.9207, 7.9207 and 7.9207 Å, with angles of 90.00, 90.00 and 90.00 degrees. The distinct sites, in fractional coordinates, are Gd at (0.0000, 0.0000, 0.0000), Cd at (0.2500, 0.2500, 0.7500) and Ag at (0.1247, 0.1247, 0.3753).

As for the total magnetic moment: 29.08 μB per cell. The energy relative to the elements comes out at -0.191 eV/atom.

---

19.
An optimized crystal structure of GdCdAgHg, computed with PBE-GGA.

The space group is F-43m (No. 216) and the conventional cell measures 7.1286, 7.1286 and 7.1286 Å, with angles of 90.00, 90.00 and 90.00 degrees. The distinct sites, in fractional coordinates, are Gd at (0.0000, 0.0000, 0.0000), Cd at (0.2500, 0.2500, 0.7500), Ag at (0.0000, 0.0000, 0.5000) and Hg at (0.2500, 0.2500, 0.2500).

As for the total magnetic moment: 28.92 μB per cell. The energy relative to the elements comes out at -0.290 eV/atom.

---

20.
An optimized crystal structure of GdCdInAg, computed with PBE-GGA.

The space group is F-43m (No. 216) and the conventional cell measures 7.1501, 7.1501 and 7.1501 Å, with angles of 90.00, 90.00 and 90.00 degrees. The distinct sites, in fractional coordinates, are Gd at (0.0000, 0.0000, 0.0000), Cd at (0.2500, 0.2500, 0.7500), In at (0.0000, 0.0000, 0.5000) and Ag at (0.2500, 0.2500, 0.2500).

As for the total magnetic moment: 28.08 μB per cell. The energy relative to the elements comes out at -0.312 eV/atom.